## HgI (GGA-PBE)

Data for a relaxed HgI crystal.

Summary:
total magnetic moment = 0.0000 μB/atom
E_form (uncorrected) = -23 kJ/mol of formula units
calculated volume = 560.04 Å³/cell
energy above the most stable polymorph in this dataset = 124 meV/atom
E = -1.04 eV/atom

abc: 12.3389 12.3389 4.2475
angles: 90.00 90.00 120.00
Last column: nearest neighbours and their distance in Å.
Space group P6_3/m (No. 176)
Symmetry-distinct sites (fractional):
Hg 0.0339 0.4396 0.2500 [6 per cell]  2 Hg 2.95, 3 I 3.03-3.11
I 0.1830 0.3966 0.7500 [6 per cell]  3 Hg 3.03-3.11